# 1
NaVCu2Te4: relaxed, PBE-GGA.

Its density of states at the Fermi level is 0.152 states/eV/atom. For the total energy, the calculation gives -4.108 eV per atom. The calculation puts the formation energy (no corrections) at -1.7 eV/f.u. The value obtained for the total magnetization is 0.000 μB/f.u.

Cell lengths 7.333, 7.333, 7.333 Å; angles 128.15, 128.15, 76.39 degrees
Fractional coordinates of all 8 atoms:
Na (0.000, 0.000, 0.000)
V (0.500, 0.500, 0.000)
Cu (0.250, 0.750, 0.500)
Cu (0.750, 0.250, 0.500)
Te (0.145, 0.578, 0.000)
Te (0.422, 0.422, 0.567)
Te (0.578, 0.145, 0.000)
Te (0.855, 0.855, 0.433)



# 2
SrPr2InN: relaxed, PBE-GGA.

Its density of states at the Fermi level is 0.502 states/eV/atom. For the total energy, the calculation gives -5.170 eV per atom. The calculation puts the formation energy (no corrections) at -3.5 eV/f.u. The value obtained for the total magnetization is 0.000 μB/f.u.

Cell lengths 5.112, 5.112, 5.210 Å; angles 90.00, 90.00, 90.00 degrees
Fractional coordinates of all 5 atoms:
Sr (0.000, 0.000, 0.000)
Pr (0.000, 0.500, 0.500)
Pr (0.500, 0.000, 0.500)
In (0.500, 0.500, 0.000)
N (0.000, 0.000, 0.500)



# 3
TmRe4Si4: relaxed, PBE-GGA.

Its density of states at the Fermi level is 0.749 states/eV/atom. For the total energy, the calculation gives -8.673 eV per atom. The calculation puts the formation energy (no corrections) at -2.1 eV/f.u. The value obtained for the total magnetization is 0.000 μB/f.u.

Cell lengths 8.036, 8.036, 4.729 Å; angles 90.00, 90.00, 90.00 degrees
Fractional coordinates of all 18 atoms:
Tm (0.250, 0.250, 0.250)
Tm (0.750, 0.750, 0.750)
Re (0.120, 0.870, 0.656)
Re (0.130, 0.620, 0.156)
Re (0.370, 0.880, 0.156)
Re (0.380, 0.630, 0.656)
Re (0.620, 0.370, 0.344)
Re (0.630, 0.120, 0.844)
Re (0.870, 0.380, 0.844)
Re (0.880, 0.130, 0.344)
Si (0.058, 0.909, 0.161)
Si (0.091, 0.558, 0.661)
Si (0.409, 0.942, 0.661)
Si (0.442, 0.591, 0.161)
Si (0.558, 0.409, 0.839)
Si (0.591, 0.058, 0.339)
Si (0.909, 0.442, 0.339)
Si (0.942, 0.091, 0.839)



# 4
LaIr2Pb2: relaxed, PBE-GGA.

Its density of states at the Fermi level is 0.685 states/eV/atom. For the total energy, the calculation gives -6.186 eV per atom. The value obtained for the total magnetization is 0.000 μB/f.u.

Cell lengths 6.983, 6.983, 6.983 Å; angles 143.18, 143.18, 53.05 degrees
Fractional coordinates of all 5 atoms:
La (0.000, 0.000, 0.000)
Ir (0.404, 0.404, 0.000)
Ir (0.596, 0.596, 0.000)
Pb (0.250, 0.750, 0.500)
Pb (0.750, 0.250, 0.500)



# 5
Ac8PmPr3: relaxed, PBE-GGA.

Its density of states at the Fermi level is 1.313 states/eV/atom. For the total energy, the calculation gives -4.006 eV per atom. The value obtained for the total magnetization is 0.000 μB/f.u.

Cell lengths 9.380, 9.380, 7.288 Å; angles 112.79, 112.79, 79.15 degrees
Fractional coordinates of all 12 atoms:
Ac (0.094, 0.405, 0.801)
Ac (0.221, 0.724, 0.723)
Ac (0.276, 0.779, 0.277)
Ac (0.405, 0.094, 0.801)
Ac (0.595, 0.906, 0.199)
Ac (0.724, 0.221, 0.723)
Ac (0.779, 0.276, 0.277)
Ac (0.906, 0.595, 0.199)
Pm (0.000, 0.000, 0.500)
Pr (0.249, 0.249, 0.292)
Pr (0.500, 0.500, 0.000)
Pr (0.751, 0.751, 0.708)



# 6
RuSe: relaxed, PBE-GGA.

Its density of states at the Fermi level is 0.723 states/eV/atom. For the total energy, the calculation gives -6.308 eV per atom. The calculation puts the formation energy (no corrections) at 0.1 eV/f.u. The value obtained for the total magnetization is 0.000 μB/f.u.

Cell lengths 7.339, 7.339, 3.121 Å; angles 90.00, 90.00, 90.00 degrees
Fractional coordinates of all 8 atoms:
Ru (0.134, 0.134, 0.000)
Ru (0.366, 0.634, 0.500)
Ru (0.634, 0.366, 0.500)
Ru (0.866, 0.866, 0.000)
Se (0.190, 0.810, 0.000)
Se (0.310, 0.310, 0.500)
Se (0.690, 0.690, 0.500)
Se (0.810, 0.190, 0.000)



# 7
PmCrAs3: relaxed, PBE-GGA.

Its density of states at the Fermi level is 0.456 states/eV/atom. For the total energy, the calculation gives -6.342 eV per atom. The value obtained for the total magnetization is 1.629 μB/f.u.

Cell lengths 12.337, 5.685, 5.646 Å; angles 90.00, 90.00, 90.00 degrees
Fractional coordinates of all 20 atoms:
Pm (0.189, 0.004, 0.250)
Pm (0.189, 0.496, 0.750)
Pm (0.811, 0.504, 0.250)
Pm (0.811, 0.996, 0.750)
Cr (0.414, 0.750, 0.000)
Cr (0.414, 0.750, 0.500)
Cr (0.586, 0.250, 0.000)
Cr (0.586, 0.250, 0.500)
As (0.002, 0.750, 0.000)
As (0.002, 0.750, 0.500)
As (0.289, 0.504, 0.250)
As (0.289, 0.996, 0.750)
As (0.433, 0.106, 0.250)
As (0.433, 0.394, 0.750)
As (0.567, 0.606, 0.250)
As (0.567, 0.894, 0.750)
As (0.711, 0.004, 0.250)
As (0.711, 0.496, 0.750)
As (0.998, 0.250, 0.000)
As (0.998, 0.250, 0.500)



# 8
NbC3O: relaxed, PBE-GGA.

Its density of states at the Fermi level is 0.566 states/eV/atom. For the total energy, the calculation gives -5.926 eV per atom. The calculation puts the formation energy (no corrections) at 13.1 eV/f.u. The value obtained for the total magnetization is 1.756 μB/f.u.

Cell lengths 4.211, 4.211, 4.211 Å; angles 90.00, 90.00, 90.00 degrees
Fractional coordinates of all 5 atoms:
Nb (0.000, 0.000, 0.000)
C (0.000, 0.000, 0.500)
C (0.000, 0.500, 0.000)
C (0.500, 0.000, 0.000)
O (0.500, 0.500, 0.500)



# 9
La2GeHAu: relaxed, PBE-GGA.

Its density of states at the Fermi level is 0.696 states/eV/atom. For the total energy, the calculation gives -4.829 eV per atom. The value obtained for the total magnetization is 0.156 μB/f.u.

Cell lengths 5.133, 5.133, 4.132 Å; angles 90.00, 90.00, 90.00 degrees
Fractional coordinates of all 5 atoms:
La (0.000, 0.500, 0.000)
La (0.500, 0.000, 0.000)
Ge (0.000, 0.000, 0.500)
H (0.500, 0.500, 0.000)
Au (0.500, 0.500, 0.500)



# 10
Pu2SiPPt6: relaxed, PBE-GGA.

Its density of states at the Fermi level is 2.765 states/eV/atom. For the total energy, the calculation gives -8.327 eV per atom. The calculation puts the formation energy (no corrections) at -7.5 eV/f.u. The value obtained for the total magnetization is 10.172 μB/f.u.

Cell lengths 5.542, 8.252, 8.410 Å; angles 90.00, 90.00, 90.00 degrees
Fractional coordinates of all 20 atoms:
Pu (0.250, 0.001, 0.233)
Pu (0.250, 0.499, 0.233)
Pu (0.750, 0.501, 0.767)
Pu (0.750, 0.999, 0.767)
Si (0.250, 0.750, 0.766)
Si (0.750, 0.250, 0.234)
P (0.250, 0.250, 0.777)
P (0.750, 0.750, 0.223)
Pt (0.002, 0.250, 0.479)
Pt (0.002, 0.750, 0.000)
Pt (0.250, 0.011, 0.631)
Pt (0.250, 0.489, 0.631)
Pt (0.498, 0.250, 0.479)
Pt (0.498, 0.750, 0.000)
Pt (0.502, 0.250, 0.000)
Pt (0.502, 0.750, 0.521)
Pt (0.750, 0.511, 0.369)
Pt (0.750, 0.989, 0.369)
Pt (0.998, 0.250, 0.000)
Pt (0.998, 0.750, 0.521)



# 11
YHgW2: relaxed, PBE-GGA.

Its density of states at the Fermi level is 0.852 states/eV/atom. For the total energy, the calculation gives -7.550 eV per atom. The value obtained for the total magnetization is 0.000 μB/f.u.

Cell lengths 5.706, 5.706, 4.793 Å; angles 111.89, 111.89, 35.87 degrees
Fractional coordinates of all 4 atoms:
Y (0.000, 0.000, 0.000)
Hg (0.500, 0.500, 0.500)
W (0.241, 0.241, 0.683)
W (0.759, 0.759, 0.317)



# 12
CsInGaBi2: relaxed, PBE-GGA.

Its density of states at the Fermi level is 0.259 states/eV/atom. For the total energy, the calculation gives -3.092 eV per atom. The value obtained for the total magnetization is 0.000 μB/f.u.

Cell lengths 8.516, 8.516, 8.516 Å; angles 146.01, 146.01, 48.84 degrees
Fractional coordinates of all 5 atoms:
Cs (0.000, 0.000, 0.000)
In (0.750, 0.250, 0.500)
Ga (0.250, 0.750, 0.500)
Bi (0.361, 0.361, 0.000)
Bi (0.639, 0.639, 0.000)



Copy entry 4 word for word.
LaIr2Pb2: relaxed, PBE-GGA.

Its density of states at the Fermi level is 0.685 states/eV/atom. For the total energy, the calculation gives -6.186 eV per atom. The value obtained for the total magnetization is 0.000 μB/f.u.

Cell lengths 6.983, 6.983, 6.983 Å; angles 143.18, 143.18, 53.05 degrees
Fractional coordinates of all 5 atoms:
La (0.000, 0.000, 0.000)
Ir (0.404, 0.404, 0.000)
Ir (0.596, 0.596, 0.000)
Pb (0.250, 0.750, 0.500)
Pb (0.750, 0.250, 0.500)